[1]
LaTc | GGA-PBE | optimized geometry

```
data_LaTc
_chemical_formula_sum 'La2 Tc2'
_cell_length_a 4.853
_cell_length_b 4.853
_cell_length_c 4.853
_cell_angle_alpha 65.46
_cell_angle_beta 65.46
_cell_angle_gamma 65.46
_space_group_name_H-M_alt 'P 1'
_space_group_IT_number 1
loop_
_space_group_symop_operation_xyz
'x,y,z'
loop_
_atom_site_label
_atom_site_type_symbol
_atom_site_fract_x
_atom_site_fract_y
_atom_site_fract_z
_atom_site_occupancy
La1 La 0.135 0.135 0.135 1
La2 La 0.865 0.865 0.865 1
Tc1 Tc 0.399 0.399 0.399 1
Tc2 Tc 0.601 0.601 0.601 1
```

Computed properties:
The calculation puts the density of states at the Fermi level at 1.232 states/eV per atom. As for the space group: R-3m, No. 166. The calculation puts the energy above the lowest structure with this stoichiometry at 0.3252 eV/atom. The formation energy comes out at 0.36 eV per atom. As for the crystal system: trigonal. The size of the total moment is 0.00 μB per formula unit.

[2]
La6Tc | GGA-PBE | optimized geometry

```
data_La6Tc
_chemical_formula_sum 'La24 Tc4'
_cell_length_a 12.651
_cell_length_b 11.698
_cell_length_c 6.623
_cell_angle_alpha 90.00
_cell_angle_beta 90.00
_cell_angle_gamma 90.00
_space_group_name_H-M_alt 'P 1'
_space_group_IT_number 1
loop_
_space_group_symop_operation_xyz
'x,y,z'
loop_
_atom_site_label
_atom_site_type_symbol
_atom_site_fract_x
_atom_site_fract_y
_atom_site_fract_z
_atom_site_occupancy
La1 La 0.001 0.250 0.226 1
La2 La 0.005 0.572 0.248 1
La3 La 0.005 0.928 0.248 1
La4 La 0.240 0.750 0.413 1
La5 La 0.247 0.583 0.914 1
La6 La 0.247 0.917 0.914 1
La7 La 0.253 0.083 0.414 1
La8 La 0.253 0.417 0.414 1
La9 La 0.260 0.250 0.913 1
La10 La 0.495 0.072 0.748 1
La11 La 0.495 0.428 0.748 1
La12 La 0.499 0.750 0.726 1
La13 La 0.501 0.250 0.274 1
La14 La 0.505 0.572 0.252 1
La15 La 0.505 0.928 0.252 1
La16 La 0.740 0.750 0.087 1
La17 La 0.747 0.583 0.586 1
La18 La 0.747 0.917 0.586 1
La19 La 0.753 0.083 0.086 1
La20 La 0.753 0.417 0.086 1
La21 La 0.760 0.250 0.587 1
La22 La 0.995 0.072 0.752 1
La23 La 0.995 0.428 0.752 1
La24 La 0.999 0.750 0.774 1
Tc1 Tc 0.109 0.250 0.593 1
Tc2 Tc 0.391 0.750 0.093 1
Tc3 Tc 0.609 0.250 0.907 1
Tc4 Tc 0.891 0.750 0.407 1
```

Computed properties:
The calculation puts the density of states at the Fermi level at 1.737 states/eV per atom. As for the space group: Pnma, No. 62. The formation energy comes out at 0.02 eV per atom. As for the crystal system: orthorhombic. The size of the total moment is 0.00 μB per formula unit.

[3]
LaTc7 | GGA-PBE | optimized geometry

```
data_LaTc7
_chemical_formula_sum 'La1 Tc7'
_cell_length_a 5.660
_cell_length_b 5.660
_cell_length_c 5.660
_cell_angle_alpha 60.00
_cell_angle_beta 60.00
_cell_angle_gamma 60.00
_space_group_name_H-M_alt 'P 1'
_space_group_IT_number 1
loop_
_space_group_symop_operation_xyz
'x,y,z'
loop_
_atom_site_label
_atom_site_type_symbol
_atom_site_fract_x
_atom_site_fract_y
_atom_site_fract_z
_atom_site_occupancy
La1 La 0.000 0.000 0.000 1
Tc1 Tc 0.000 0.000 0.500 1
Tc2 Tc 0.000 0.500 0.000 1
Tc3 Tc 0.000 0.500 0.500 1
Tc4 Tc 0.500 0.000 0.000 1
Tc5 Tc 0.500 0.000 0.500 1
Tc6 Tc 0.500 0.500 0.000 1
Tc7 Tc 0.500 0.500 0.500 1
```

Computed properties:
The calculation puts the density of states at the Fermi level at 1.822 states/eV per atom. As for the space group: Fm-3m, No. 225. The formation energy comes out at 0.53 eV per atom. As for the crystal system: cubic. The size of the total moment is 0.00 μB per formula unit.

[4]
LaTc | GGA-PBE | optimized geometry

```
data_LaTc
_chemical_formula_sum 'La2 Tc2'
_cell_length_a 6.373
_cell_length_b 6.373
_cell_length_c 6.373
_cell_angle_alpha 146.33
_cell_angle_beta 134.22
_cell_angle_gamma 58.02
_space_group_name_H-M_alt 'P 1'
_space_group_IT_number 1
loop_
_space_group_symop_operation_xyz
'x,y,z'
loop_
_atom_site_label
_atom_site_type_symbol
_atom_site_fract_x
_atom_site_fract_y
_atom_site_fract_z
_atom_site_occupancy
La1 La 0.357 0.107 0.250 1
La2 La 0.643 0.893 0.750 1
Tc1 Tc 0.066 0.316 0.750 1
Tc2 Tc 0.934 0.684 0.250 1
```

Computed properties:
The calculation puts the density of states at the Fermi level at 1.082 states/eV per atom. As for the space group: Imma, No. 74. The calculation puts the energy above the lowest structure with this stoichiometry at 0.1539 eV/atom. The formation energy comes out at 0.18 eV per atom. As for the crystal system: orthorhombic. The size of the total moment is 0.00 μB per formula unit.

Repeat the first record exactly.
LaTc | GGA-PBE | optimized geometry

```
data_LaTc
_chemical_formula_sum 'La2 Tc2'
_cell_length_a 4.853
_cell_length_b 4.853
_cell_length_c 4.853
_cell_angle_alpha 65.46
_cell_angle_beta 65.46
_cell_angle_gamma 65.46
_space_group_name_H-M_alt 'P 1'
_space_group_IT_number 1
loop_
_space_group_symop_operation_xyz
'x,y,z'
loop_
_atom_site_label
_atom_site_type_symbol
_atom_site_fract_x
_atom_site_fract_y
_atom_site_fract_z
_atom_site_occupancy
La1 La 0.135 0.135 0.135 1
La2 La 0.865 0.865 0.865 1
Tc1 Tc 0.399 0.399 0.399 1
Tc2 Tc 0.601 0.601 0.601 1
```

Computed properties:
The calculation puts the density of states at the Fermi level at 1.232 states/eV per atom. As for the space group: R-3m, No. 166. The calculation puts the energy above the lowest structure with this stoichiometry at 0.3252 eV/atom. The formation energy comes out at 0.36 eV per atom. As for the crystal system: trigonal. The size of the total moment is 0.00 μB per formula unit.